# 1
# AgSb2Mo | Alexandria | PBE-GGA | optimized geometry
# - E above lowest polymorph (meV/atom) = 286
# - raw formation energy (eV per atom) = 0.455
# - E (eV/atom) = -5.03
data_AgSb2Mo
_chemical_formula_sum 'Ag4 Sb8 Mo4'
_cell_length_a 6.9434
_cell_length_b 6.9434
_cell_length_c 6.9434
_cell_angle_alpha 90.00
_cell_angle_beta 90.00
_cell_angle_gamma 90.00
_symmetry_space_group_name_H-M 'F m -3 m'
_symmetry_Int_Tables_number 225
_symmetry_space_group_name_Hall '-F 4 2 3'
loop_
_atom_site_label
_atom_site_type_symbol
_atom_site_fract_x
_atom_site_fract_y
_atom_site_fract_z
Ag1 Ag 0.0000 0.0000 0.0000
Sb1 Sb 0.2500 0.2500 0.2500
Mo1 Mo 0.0000 0.0000 0.5000

# 2
# AgSbMo2 | Alexandria | PBE-GGA | optimized geometry
# - raw formation energy (eV per atom) = 0.483
# - E (eV/atom) = -6.68
data_AgSbMo2
_chemical_formula_sum 'Ag2 Sb2 Mo4'
_cell_length_a 3.3835
_cell_length_b 4.5680
_cell_length_c 9.1788
_cell_angle_alpha 90.00
_cell_angle_beta 90.00
_cell_angle_gamma 90.00
_symmetry_space_group_name_H-M 'I m m m'
_symmetry_Int_Tables_number 71
_symmetry_space_group_name_Hall '-I 2 2'
loop_
_atom_site_label
_atom_site_type_symbol
_atom_site_fract_x
_atom_site_fract_y
_atom_site_fract_z
Ag1 Ag 0.0000 0.0000 0.0000
Sb1 Sb 0.0000 0.0000 0.5000
Mo1 Mo 0.0000 0.5000 0.2379

# 3
# AgSb2Mo | Alexandria | PBE-GGA | optimized geometry
# - E above lowest polymorph (meV/atom) = 243
# - raw formation energy (eV per atom) = 0.412
# - E (eV/atom) = -5.07
data_AgSb2Mo
_chemical_formula_sum 'Ag2 Sb4 Mo2'
_cell_length_a 3.8814
_cell_length_b 4.6130
_cell_length_c 10.2586
_cell_angle_alpha 90.00
_cell_angle_beta 90.00
_cell_angle_gamma 90.00
_symmetry_space_group_name_H-M 'C m m 2'
_symmetry_Int_Tables_number 35
loop_
_symmetry_equiv_pos_as_xyz
'x,y,z'
'-x,-y,z'
'-x,y,z'
'x,-y,z'
'x+1/2,y+1/2,z'
'-x+1/2,-y+1/2,z'
'-x+1/2,y+1/2,z'
'x+1/2,-y+1/2,z'
loop_
_atom_site_label
_atom_site_type_symbol
_atom_site_fract_x
_atom_site_fract_y
_atom_site_fract_z
Ag1 Ag 0.0000 0.0000 0.0000
Sb1 Sb 0.0000 0.0000 0.5965
Sb2 Sb 0.0000 0.5000 0.2289
Mo1 Mo 0.0000 0.5000 0.7949

# 4
# AgSbMo2 | Alexandria | PBE-GGA | optimized geometry
# - raw formation energy (eV per atom) = 0.455
# - E (eV/atom) = -6.70
data_AgSbMo2
_chemical_formula_sum 'Ag2 Sb2 Mo4'
_cell_length_a 4.1710
_cell_length_b 4.1710
_cell_length_c 8.0134
_cell_angle_alpha 90.00
_cell_angle_beta 90.00
_cell_angle_gamma 90.00
_symmetry_space_group_name_H-M 'I -4 m 2'
_symmetry_Int_Tables_number 119
_symmetry_space_group_name_Hall 'I -4 -2'
loop_
_atom_site_label
_atom_site_type_symbol
_atom_site_fract_x
_atom_site_fract_y
_atom_site_fract_z
Ag1 Ag 0.0000 0.0000 0.0000
Sb1 Sb 0.0000 0.5000 0.2500
Mo1 Mo 0.0000 0.0000 0.5000
Mo2 Mo 0.0000 0.5000 0.7500

# 5
# Ag3SbMo | Alexandria | PBE-GGA | optimized geometry
# - E above lowest polymorph (meV/atom) = 273
# - raw formation energy (eV per atom) = 1.500
# - E (eV/atom) = -3.20
data_Ag3SbMo
_chemical_formula_sum 'Ag3 Sb1 Mo1'
_cell_length_a 5.0867
_cell_length_b 5.0867
_cell_length_c 5.0867
_cell_angle_alpha 90.00
_cell_angle_beta 90.00
_cell_angle_gamma 90.00
_symmetry_space_group_name_H-M 'P m -3 m'
_symmetry_Int_Tables_number 221
_symmetry_space_group_name_Hall '-P 4 2 3'
loop_
_atom_site_label
_atom_site_type_symbol
_atom_site_fract_x
_atom_site_fract_y
_atom_site_fract_z
Ag1 Ag 0.0000 0.0000 0.5000
Sb1 Sb 0.5000 0.5000 0.5000
Mo1 Mo 0.0000 0.0000 0.0000

# 6
# AgSbMo2 | Alexandria | PBE-GGA | optimized geometry
# - raw formation energy (eV per atom) = 0.333
# - E (eV/atom) = -6.83
data_AgSbMo2
_chemical_formula_sum 'Ag1 Sb1 Mo2'
_cell_length_a 3.2681
_cell_length_b 3.2681
_cell_length_c 7.0271
_cell_angle_alpha 90.00
_cell_angle_beta 90.00
_cell_angle_gamma 90.00
_symmetry_space_group_name_H-M 'P 4 m m'
_symmetry_Int_Tables_number 99
loop_
_symmetry_equiv_pos_as_xyz
'x,y,z'
'-y,x,z'
'-x,-y,z'
'y,-x,z'
'-x,y,z'
'y,x,z'
'x,-y,z'
'-y,-x,z'
loop_
_atom_site_label
_atom_site_type_symbol
_atom_site_fract_x
_atom_site_fract_y
_atom_site_fract_z
Ag1 Ag 0.0000 0.0000 0.0000
Sb1 Sb 0.5000 0.5000 0.7049
Mo1 Mo 0.0000 0.0000 0.4446
Mo2 Mo 0.5000 0.5000 0.2580

# 7
# AgSbMo2 | Alexandria | PBE-GGA | optimized geometry
# - raw formation energy (eV per atom) = 0.574
# - E (eV/atom) = -6.58
data_AgSbMo2
_chemical_formula_sum 'Ag2 Sb2 Mo4'
_cell_length_a 5.5747
_cell_length_b 8.3803
_cell_length_c 3.0060
_cell_angle_alpha 90.00
_cell_angle_beta 90.00
_cell_angle_gamma 90.00
_symmetry_space_group_name_H-M 'C m m m'
_symmetry_Int_Tables_number 65
_symmetry_space_group_name_Hall '-C 2 2'
loop_
_atom_site_label
_atom_site_type_symbol
_atom_site_fract_x
_atom_site_fract_y
_atom_site_fract_z
Ag1 Ag 0.0000 0.0000 0.0000
Sb1 Sb 0.0000 0.5000 0.0000
Mo1 Mo 0.2500 0.2500 0.5000

# 8
# AgSbMo2 | Alexandria | PBE-GGA | optimized geometry
# - raw formation energy (eV per atom) = 0.564
# - E (eV/atom) = -6.59
data_AgSbMo2
_chemical_formula_sum 'Ag2 Sb2 Mo4'
_cell_length_a 5.6272
_cell_length_b 9.0366
_cell_length_c 2.9110
_cell_angle_alpha 90.00
_cell_angle_beta 106.63
_cell_angle_gamma 90.00
_symmetry_space_group_name_H-M 'C 1 2/m 1'
_symmetry_Int_Tables_number 12
loop_
_symmetry_equiv_pos_as_xyz
'x,y,z'
'-x,-y,-z'
'-x,y,-z'
'x,-y,z'
'x+1/2,y+1/2,z'
'-x+1/2,-y+1/2,-z'
'-x+1/2,y+1/2,-z'
'x+1/2,-y+1/2,z'
loop_
_atom_site_label
_atom_site_type_symbol
_atom_site_fract_x
_atom_site_fract_y
_atom_site_fract_z
Ag1 Ag 0.0000 0.0000 0.0000
Sb1 Sb 0.0000 0.5000 0.0000
Mo1 Mo 0.2500 0.2500 0.5000

# 9
# AgSb2Mo | Alexandria | PBE-GGA | optimized geometry
# - E above lowest polymorph (meV/atom) = 111
# - raw formation energy (eV per atom) = 0.280
# - E (eV/atom) = -5.20
data_AgSb2Mo
_chemical_formula_sum 'Ag2 Sb4 Mo2'
_cell_length_a 3.3421
_cell_length_b 3.9279
_cell_length_c 13.7842
_cell_angle_alpha 90.00
_cell_angle_beta 90.00
_cell_angle_gamma 90.00
_symmetry_space_group_name_H-M 'I m m 2'
_symmetry_Int_Tables_number 44
loop_
_symmetry_equiv_pos_as_xyz
'x,y,z'
'-x,-y,z'
'-x,y,z'
'x,-y,z'
'x+1/2,y+1/2,z+1/2'
'-x+1/2,-y+1/2,z+1/2'
'-x+1/2,y+1/2,z+1/2'
'x+1/2,-y+1/2,z+1/2'
loop_
_atom_site_label
_atom_site_type_symbol
_atom_site_fract_x
_atom_site_fract_y
_atom_site_fract_z
Ag1 Ag 0.0000 0.0000 0.0000
Sb1 Sb 0.0000 0.0000 0.3824
Sb2 Sb 0.0000 0.5000 0.1552
Mo1 Mo 0.0000 0.5000 0.7251

# 10
# AgSb2Mo | Alexandria | PBE-GGA | optimized geometry
# - E above lowest polymorph (meV/atom) = 269
# - raw formation energy (eV per atom) = 0.438
# - E (eV/atom) = -5.04
data_AgSb2Mo
_chemical_formula_sum 'Ag2 Sb4 Mo2'
_cell_length_a 4.0986
_cell_length_b 4.8921
_cell_length_c 8.1348
_cell_angle_alpha 90.00
_cell_angle_beta 90.00
_cell_angle_gamma 90.00
_symmetry_space_group_name_H-M 'I m m m'
_symmetry_Int_Tables_number 71
_symmetry_space_group_name_Hall '-I 2 2'
loop_
_atom_site_label
_atom_site_type_symbol
_atom_site_fract_x
_atom_site_fract_y
_atom_site_fract_z
Ag1 Ag 0.0000 0.0000 0.0000
Sb1 Sb 0.0000 0.5000 0.2590
Mo1 Mo 0.0000 0.0000 0.5000

# 11
# AgSb2Mo | Alexandria | PBE-GGA | optimized geometry
# - E above lowest polymorph (meV/atom) = 565
# - raw formation energy (eV per atom) = 0.734
# - E (eV/atom) = -4.75
data_AgSb2Mo
_chemical_formula_sum 'Ag4 Sb8 Mo4'
_cell_length_a 6.9992
_cell_length_b 6.9992
_cell_length_c 6.9992
_cell_angle_alpha 90.00
_cell_angle_beta 90.00
_cell_angle_gamma 90.00
_symmetry_space_group_name_H-M 'F -4 3 m'
_symmetry_Int_Tables_number 216
_symmetry_space_group_name_Hall 'F -4 2 3'
loop_
_atom_site_label
_atom_site_type_symbol
_atom_site_fract_x
_atom_site_fract_y
_atom_site_fract_z
Ag1 Ag 0.0000 0.0000 0.0000
Sb1 Sb 0.0000 0.0000 0.5000
Sb2 Sb 0.2500 0.2500 0.2500
Mo1 Mo 0.2500 0.2500 0.7500

# 12
# AgSb2Mo | Alexandria | PBE-GGA | optimized geometry
# - E above lowest polymorph (meV/atom) = 159
# - raw formation energy (eV per atom) = 0.328
# - E (eV/atom) = -5.15
data_AgSb2Mo
_chemical_formula_sum 'Ag1 Sb2 Mo1'
_cell_length_a 3.8103
_cell_length_b 3.8103
_cell_length_c 5.7218
_cell_angle_alpha 90.00
_cell_angle_beta 90.00
_cell_angle_gamma 90.00
_symmetry_space_group_name_H-M 'P 4 m m'
_symmetry_Int_Tables_number 99
loop_
_symmetry_equiv_pos_as_xyz
'x,y,z'
'-y,x,z'
'-x,-y,z'
'y,-x,z'
'-x,y,z'
'y,x,z'
'x,-y,z'
'-y,-x,z'
loop_
_atom_site_label
_atom_site_type_symbol
_atom_site_fract_x
_atom_site_fract_y
_atom_site_fract_z
Ag1 Ag 0.0000 0.0000 0.0000
Sb1 Sb 0.0000 0.0000 0.4802
Sb2 Sb 0.5000 0.5000 0.8302
Mo1 Mo 0.5000 0.5000 0.3142

The lowest E belongs to which entry? number 6

Among the records above, which one has the highest raw formation energy? Ag3SbMo

E of number 2 (AgSbMo2)? -6.68 eV/atom